Compound: NaMn2P
Source: Alexandria via LeMat-Bulk
Functional: PBE
Structure: optimized geometry

Properties
DFT formation energy ... 367 meV per atom
Magnetization ... 7.4 μB/f.u.
Uncorrected energy ... -5.90 eV/atom

Cell: 5.082 5.082 8.504 Å, 72.61 72.61 90.00°
Last column: magnetic moment on the atom in μB.
Positions (direct):
Mn: 0.875 0.125 0.750  3.44
Mn: 0.875 0.125 0.250  3.35
Mn: 0.375 0.125 0.750  3.47
Mn: 0.875 0.625 0.250  3.34
Na: 0.250 0.750 0.500  -0.01
Na: 0.500 0.500 0.000  -0.01
P: 0.000 0.000 0.000  -0.07
P: 0.750 0.250 0.500  -0.07